Entry 1:
## HoTiO2 (PBE)

Data for crystalline HoTiO2 at its relaxed geometry.

The space group is R-3m (No. 166, hexagonal axes) and the conventional cell measures 3.2863, 3.2863 and 18.8240 Å, with angles of 90.00, 90.00 and 120.00 degrees. The distinct sites, in fractional coordinates, are Ho at (0.0000, 0.0000, 0.0000), Ti at (0.0000, 0.0000, 0.5000) and O at (0.0000, 0.0000, 0.1170).

As for the crystal system: trigonal. The total energy is -7.94 eV/atom. The value obtained for the uncorrected formation energy is -2.344 eV per atom.

Entry 2:
## Cu2Ni3Ir (PBE)

Data for crystalline Cu2Ni3Ir at its relaxed geometry.

The space group is Fddd (No. 70, origin choice 2) and the conventional cell measures 5.111, 7.300 and 15.304 Å, with angles of 90.00, 90.00 and 90.00 degrees. The distinct sites, in fractional coordinates, are Cu at (0.125, 0.125, 0.290), Ni at (0.125, 0.125, 0.125), Ni at (0.125, 0.125, 0.458) and Ir at (0.125, 0.125, 0.625).

As for the crystal system: orthorhombic. The total energy is -5.68 eV/atom.

Entry 3:
## Ho12Bi3C5 (PBE)

Data for crystalline Ho12Bi3C5 at its relaxed geometry.

The space group is Ia-3d (No. 230) and the conventional cell measures 15.873, 15.873 and 15.873 Å, with angles of 90.00, 90.00 and 90.00 degrees. The distinct sites, in fractional coordinates, are Ho at (0.038, 0.050, 0.647), Bi at (0.000, 0.250, 0.125), C at (0.000, 0.000, 0.000) and C at (0.000, 0.250, 0.375).

As for the crystal system: cubic. The total energy is -5.94 eV/atom.

Entry 4:
## K3Pb5Cl12 (PBE)

Data for crystalline K3Pb5Cl12 at its relaxed geometry.

The space group is Ia-3d (No. 230) and the conventional cell measures 18.024, 18.024 and 18.024 Å, with angles of 90.00, 90.00 and 90.00 degrees. The distinct sites, in fractional coordinates, are K at (0.000, 0.250, 0.125), Pb at (0.000, 0.000, 0.000), Pb at (0.000, 0.250, 0.375) and Cl at (0.023, 0.062, 0.649).

As for the crystal system: cubic. The total energy is -3.46 eV/atom. The value obtained for the uncorrected formation energy is -1.260 eV per atom.